Density functional theory data (GGA-PBE) for a relaxed Ca2Hg3Pb3 crystal.

Lattice parameters (Å, degrees): 4.864 4.874 9.326 90.00 90.00 90.00
Space group Pmmm (No. 47)
Unique sites:
Ca (0.000, 0.000, 0.244) x2
Hg (0.000, 0.500, 0.000) x1
Hg (0.500, 0.500, 0.246) x2
Pb (0.000, 0.500, 0.500) x1
Pb (0.500, 0.000, 0.000) x1
Pb (0.500, 0.000, 0.500) x1

Size of the total moment in μB per cell: 0.0
Raw total energy in eV per atom: -2.31

***

Density functional theory data (GGA-PBE) for a relaxed Rb2NaCd3 crystal.

Lattice parameters (Å, degrees): 11.348 6.753 6.800 90.00 123.55 90.00
Space group C2/m (No. 12)
Unique sites:
Rb (0.121, 0.000, 0.364) x4
Na (0.000, 0.500, 0.500) x2
Cd (0.000, 0.500, 0.000) x2
Cd (0.250, 0.250, 0.000) x4

Size of the total moment in μB per cell: 0.0
Raw total energy in eV per atom: -1.04

***

Density functional theory data (GGA-PBE) for a relaxed Nd4HoTm10 crystal.

Lattice parameters (Å, degrees): 9.725 9.725 11.413 90.00 90.00 90.00
Space group I4/m (No. 87)
Unique sites:
Nd (0.074, 0.671, 0.000) x8
Ho (0.000, 0.000, 0.500) x2
Tm (0.000, 0.500, 0.250) x4
Tm (0.117, 0.773, 0.338) x16

Size of the total moment in μB per cell: 0.0
Raw total energy in eV per atom: -4.13

***

Density functional theory data (GGA-PBE) for a relaxed CaP2Rh crystal.

Lattice parameters (Å, degrees): 6.443 6.443 6.443 90.00 90.00 90.00
Space group Fm-3m (No. 225)
Unique sites:
Ca (0.000, 0.000, 0.000) x4
P (0.250, 0.250, 0.250) x8
Rh (0.000, 0.000, 0.500) x4

Size of the total moment in μB per cell: 0.0
Energy relative to the lowest polymorph listed for this composition in meV/atom: 498